No. 1
{
  "formula": "Rb2Zr3Br9",
  "functional": "PBE",
  "state": "optimized geometry",
  "e_form_raw_ev_per_atom": -1.4180,
  "volume_a3_per_cell": 1001,
  "spacegroup": "C2/m, No. 12",
  "lattice_angstrom": [[10.3505, -0.0558, -2.3513], [-3.5747, 8.9269, -5.0305], [-0.0147, 0.0178, 10.8523]],
  "species": ["Br", "Br", "Br", "Br", "Br", "Br", "Br", "Br", "Br", "Br", "Br", "Br", "Br", "Br", "Br", "Br", "Br", "Br", "Zr", "Zr", "Zr", "Zr", "Zr", "Zr", "Rb", "Rb", "Rb", "Rb"],
  "frac_coords": [[0.7874, 0.7293, 0.7293], [0.8260, 0.1072, 0.5037], [0.1833, 0.0849, 0.8795], [0.1740, 0.4963, 0.8928], [0.8167, 0.9151, 0.1205], [0.8260, 0.5037, 0.1072], [0.1740, 0.8928, 0.4963], [0.1833, 0.8795, 0.0849], [0.5000, 0.7919, 0.2081], [0.5166, 0.4029, 0.1951], [0.2126, 0.2707, 0.2707], [0.4834, 0.5971, 0.8049], [0.8305, 0.3154, 0.3154], [0.5166, 0.1951, 0.4029], [0.5000, 0.2081, 0.7919], [0.4834, 0.8049, 0.5971], [0.8167, 0.1205, 0.9151], [0.1695, 0.6846, 0.6846], [0.6334, 0.8750, 0.8750], [0.3666, 0.1250, 0.1250], [0.6463, 0.2303, 0.0458], [0.6463, 0.0458, 0.2303], [0.3537, 0.7697, 0.9542], [0.3537, 0.9542, 0.7697], [0.8217, 0.4439, 0.7660], [0.1783, 0.5561, 0.2340], [0.1783, 0.2340, 0.5561], [0.8217, 0.7660, 0.4439]]
}

***

No. 2
{
  "formula": "Mn4PH2",
  "functional": "PBE",
  "state": "optimized geometry",
  "dft_energy_ev_per_cell": -46.02,
  "volume_a3_per_cell": 83,
  "spacegroup": "I4/mmm, No. 139",
  "lattice_angstrom": [[-2.8085, 2.9739, 1.2150], [-2.9794, -3.0148, 0.4923], [-1.6144, -0.5788, 5.1781]],
  "species": ["Mn", "Mn", "Mn", "Mn", "P", "H", "H"],
  "frac_coords": [[0.5000, 0.0000, 0.0000], [0.0000, 0.5000, 0.0000], [0.2521, 0.2521, 0.4958], [0.7479, 0.7479, 0.5042], [0.0000, 0.0000, 0.0000], [0.5686, 0.5686, 0.8627], [0.4314, 0.4314, 0.1373]]
}

***

Please write out number 2 again, unchanged.
{
  "formula": "Mn4PH2",
  "functional": "PBE",
  "state": "optimized geometry",
  "dft_energy_ev_per_cell": -46.02,
  "volume_a3_per_cell": 83,
  "spacegroup": "I4/mmm, No. 139",
  "lattice_angstrom": [[-2.8085, 2.9739, 1.2150], [-2.9794, -3.0148, 0.4923], [-1.6144, -0.5788, 5.1781]],
  "species": ["Mn", "Mn", "Mn", "Mn", "P", "H", "H"],
  "frac_coords": [[0.5000, 0.0000, 0.0000], [0.0000, 0.5000, 0.0000], [0.2521, 0.2521, 0.4958], [0.7479, 0.7479, 0.5042], [0.0000, 0.0000, 0.0000], [0.5686, 0.5686, 0.8627], [0.4314, 0.4314, 0.1373]]
}